[1]
Pr2DyAl7Cu2 after structural relaxation. Source: OQMD, functional PBE.

Calculated values
The crystal system is trigonal. The total DFT energy (no corrections) is -4.445 eV/atom. The value obtained for the size of the total moment is 0.0 μB per formula unit.

Cell and atoms, written as CIF:
```
data_Pr2DyAl7Cu2
_cell_length_a 5.5874
_cell_length_b 5.5874
_cell_length_c 25.8536
_cell_angle_alpha 90.00
_cell_angle_beta 90.00
_cell_angle_gamma 120.00
_symmetry_space_group_name_H-M 'R -3 m'
_symmetry_Int_Tables_number 166
_symmetry_space_group_name_Hall '-R 3 2"'
loop_
_atom_site_label
_atom_site_fract_x
_atom_site_fract_y
_atom_site_fract_z
Pr1 0.0000 0.0000 0.1415
Dy1 0.0000 0.0000 0.0000
Al1 0.0000 0.0000 0.5000
Al2 0.0056 0.5028 0.9230
Cu1 0.0000 0.0000 0.3354
```

[2]
Dy2TmAl3CuSi2 after structural relaxation. Source: OQMD, functional PBE.

Calculated values
The crystal system is orthorhombic. The total DFT energy (no corrections) is -5.020 eV/atom. The value obtained for the size of the total moment is 0.0 μB per formula unit.

Cell and atoms, written as CIF:
```
data_Dy2TmAl3CuSi2
_cell_length_a 4.153
_cell_length_b 11.923
_cell_length_c 6.897
_cell_angle_alpha 90.00
_cell_angle_beta 90.00
_cell_angle_gamma 90.00
_symmetry_space_group_name_H-M 'A m m 2'
_symmetry_Int_Tables_number 38
loop_
_symmetry_equiv_pos_as_xyz
'x,y,z'
'-x,-y,z'
'-x,y,z'
'x,-y,z'
'x,y+1/2,z+1/2'
'-x,-y+1/2,z+1/2'
'-x,y+1/2,z+1/2'
'x,-y+1/2,z+1/2'
loop_
_atom_site_label
_atom_site_fract_x
_atom_site_fract_y
_atom_site_fract_z
Dy1 0.000 0.203 0.000
Tm1 0.000 0.000 0.610
Al1 0.500 0.000 0.966
Al2 0.500 0.119 0.323
Cu1 0.000 0.000 0.207
Si1 0.500 0.165 0.703
```

[3]
DyTm2Al3CuSi2 after structural relaxation. Source: OQMD, functional PBE.

Calculated values
The crystal system is orthorhombic. The total DFT energy (no corrections) is -5.003 eV/atom. The value obtained for the size of the total moment is 0.0 μB per formula unit.

Cell and atoms, written as CIF:
```
data_DyTm2Al3CuSi2
_cell_length_a 4.138
_cell_length_b 11.905
_cell_length_c 6.860
_cell_angle_alpha 90.00
_cell_angle_beta 90.00
_cell_angle_gamma 90.00
_symmetry_space_group_name_H-M 'A m m 2'
_symmetry_Int_Tables_number 38
loop_
_symmetry_equiv_pos_as_xyz
'x,y,z'
'-x,-y,z'
'-x,y,z'
'x,-y,z'
'x,y+1/2,z+1/2'
'-x,-y+1/2,z+1/2'
'-x,y+1/2,z+1/2'
'x,-y+1/2,z+1/2'
loop_
_atom_site_label
_atom_site_fract_x
_atom_site_fract_y
_atom_site_fract_z
Dy1 0.000 0.000 0.000
Tm1 0.000 0.203 0.390
Al1 0.500 0.000 0.355
Al2 0.500 0.119 0.712
Cu1 0.000 0.000 0.590
Si1 0.500 0.168 0.094
```

[4]
DyY2Al3CuSi2 after structural relaxation. Source: OQMD, functional PBE.

Calculated values
The crystal system is orthorhombic. The total DFT energy (no corrections) is -5.456 eV/atom. The value obtained for the size of the total moment is 0.0 μB per formula unit.

Cell and atoms, written as CIF:
```
data_DyY2Al3CuSi2
_cell_length_a 4.178
_cell_length_b 12.003
_cell_length_c 6.930
_cell_angle_alpha 90.00
_cell_angle_beta 90.00
_cell_angle_gamma 90.00
_symmetry_space_group_name_H-M 'A m m 2'
_symmetry_Int_Tables_number 38
loop_
_symmetry_equiv_pos_as_xyz
'x,y,z'
'-x,-y,z'
'-x,y,z'
'x,-y,z'
'x,y+1/2,z+1/2'
'-x,-y+1/2,z+1/2'
'-x,y+1/2,z+1/2'
'x,-y+1/2,z+1/2'
loop_
_atom_site_label
_atom_site_fract_x
_atom_site_fract_y
_atom_site_fract_z
Dy1 0.000 0.000 0.000
Y1 0.000 0.203 0.391
Al1 0.500 0.000 0.356
Al2 0.500 0.119 0.713
Cu1 0.000 0.000 0.595
Si1 0.500 0.166 0.094
```

[5]
SmDy2Al7Cu2 after structural relaxation. Source: OQMD, functional PBE.

Calculated values
The crystal system is trigonal. The total DFT energy (no corrections) is -4.462 eV/atom. The value obtained for the size of the total moment is 0.0 μB per formula unit.

Cell and atoms, written as CIF:
```
data_SmDy2Al7Cu2
_cell_length_a 5.5090
_cell_length_b 5.5090
_cell_length_c 25.5451
_cell_angle_alpha 90.00
_cell_angle_beta 90.00
_cell_angle_gamma 120.00
_symmetry_space_group_name_H-M 'R -3 m'
_symmetry_Int_Tables_number 166
_symmetry_space_group_name_Hall '-R 3 2"'
loop_
_atom_site_label
_atom_site_fract_x
_atom_site_fract_y
_atom_site_fract_z
Sm1 0.0000 0.0000 0.0000
Dy1 0.0000 0.0000 0.1420
Al1 0.0000 0.0000 0.5000
Al2 0.0061 0.5030 0.9210
Cu1 0.0000 0.0000 0.3352
```

[6]
Sm2DyAl7Cu2 after structural relaxation. Source: OQMD, functional PBE.

Calculated values
The crystal system is trigonal. The total DFT energy (no corrections) is -4.454 eV/atom. The value obtained for the size of the total moment is 0.0 μB per formula unit.

Cell and atoms, written as CIF:
```
data_Sm2DyAl7Cu2
_cell_length_a 5.5230
_cell_length_b 5.5230
_cell_length_c 25.5788
_cell_angle_alpha 90.00
_cell_angle_beta 90.00
_cell_angle_gamma 120.00
_symmetry_space_group_name_H-M 'R -3 m'
_symmetry_Int_Tables_number 166
_symmetry_space_group_name_Hall '-R 3 2"'
loop_
_atom_site_label
_atom_site_fract_x
_atom_site_fract_y
_atom_site_fract_z
Sm1 0.0000 0.0000 0.1417
Dy1 0.0000 0.0000 0.0000
Al1 0.0000 0.0000 0.5000
Al2 0.0060 0.5030 0.9221
Cu1 0.0000 0.0000 0.3354
```

> What is the size of the total moment in the fifth record?

0.0 μB per formula unit